AcCr2BiO8 | Alexandria | PBE with a Hubbard U | optimized geometry; DFT total energy = -7.02 eV per atom; symmetry = I-4m2, No. 119; spin magnetization = 2.00 μB/f.u.
1.0
-3.7709 3.7709 3.2892
3.7709 -3.7709 3.2892
3.7709 3.7709 -3.2892
Ac Cr Bi O
1 2 1 8
Direct
0.0000 0.0000 0.0000 Ac
0.5000 0.5000 0.0000 Cr
0.7500 0.2500 0.5000 Cr
0.2500 0.7500 0.5000 Bi
0.3385 0.1575 0.8190 O
0.3385 0.5195 0.1810 O
0.4030 0.0752 0.3278 O
0.4805 0.6615 0.8190 O
0.7475 0.0752 0.6722 O
0.8425 0.6615 0.1810 O
0.9248 0.2525 0.3278 O
0.9248 0.5970 0.6722 O